A relaxed structure of Nd2NbWN5. Source: Alexandria via LeMat-Bulk, functional GGA-PBE.

Output
E_form (uncorrected): -9.3 eV per formula unit
DFT total energy: -166.92 eV per cell

abc: 6.9094 6.9094 10.6660
angles: 90.00 90.00 151.70
Fractional coordinates of all 18 atoms:
Nd  0.1069  0.8931  0.5000
Nd  0.1498  0.8502  0.1043
Nd  0.8502  0.1498  0.6043
Nd  0.8931  0.1069  0.0000
Nb  0.2214  0.7786  0.8239
Nb  0.7786  0.2214  0.3239
W  0.4728  0.5272  0.2688
W  0.5272  0.4728  0.7688
N  0.0478  0.9522  0.8565
N  0.2807  0.7193  0.4535
N  0.3229  0.6771  0.1923
N  0.3717  0.6283  0.8098
N  0.4882  0.5118  0.5966
N  0.5118  0.4882  0.0966
N  0.6283  0.3717  0.3098
N  0.6771  0.3229  0.6923
N  0.7193  0.2807  0.9535
N  0.9522  0.0478  0.3565